{
  "formula": "LiY2CuO",
  "functional": "PBE",
  "state": "optimized geometry",
  "lattice": [[4.791, 0.000, 0.000], [0.000, 4.791, 0.000], [0.000, 0.000, 3.818]],
  "species": ["Y", "O", "Li", "Cu", "Y"],
  "fractional_positions": [[0.500, 0.000, 0.000], [0.000, 0.000, 0.000], [0.000, 0.000, 0.500], [0.500, 0.500, 0.500], [0.000, 0.500, 0.000]],
  "magmom_total_mub_per_cell": 0.00,
  "space_group": "P4/mmm",
  "formation_energy_uncorrected_ev_per_atom": -1.213
}

---

{
  "formula": "Li2ZnCuO4",
  "functional": "PBE",
  "state": "optimized geometry",
  "lattice": [[-0.276, -2.283, -1.877], [-0.023, -3.274, 3.984], [-4.779, 1.463, -1.077]],
  "species": ["O", "Cu", "O", "Li", "Zn", "O", "O", "Li"],
  "fractional_positions": [[0.500, 0.766, 0.762], [0.000, 0.000, 0.000], [0.000, 0.234, 0.777], [0.500, 0.000, 0.500], [0.500, 0.500, 0.000], [0.000, 0.766, 0.223], [0.500, 0.234, 0.238], [0.000, 0.500, 0.500]],
  "magmom_total_mub_per_cell": 1.12,
  "space_group": "P2/m",
  "formation_energy_uncorrected_ev_per_atom": -1.162
}

---

{
  "formula": "LiZnCu2O4",
  "functional": "PBE",
  "state": "optimized geometry",
  "lattice": [[-1.575, 1.695, 3.513], [-1.115, -3.826, 1.347], [5.021, 0.646, -0.580]],
  "species": ["O", "O", "Li", "O", "Cu", "Zn", "Cu", "O"],
  "fractional_positions": [[0.437, 0.937, 0.000], [0.686, 0.686, 0.497], [0.437, 0.437, 0.000], [0.188, 0.188, 0.503], [0.687, 0.187, 0.500], [0.937, 0.937, 0.000], [0.187, 0.687, 0.500], [0.937, 0.437, 0.000]],
  "magmom_total_mub_per_cell": 0.00,
  "space_group": "I4/mmm",
  "formation_energy_uncorrected_ev_per_atom": -0.943
}

---

{
  "formula": "Li2ZrCuO4",
  "functional": "PBE",
  "state": "optimized geometry",
  "lattice": [[-0.999, -2.091, 4.881], [-4.673, -2.705, 0.211], [4.253, -0.111, -3.331]],
  "species": ["Li", "O", "Li", "Zr", "Cu", "O", "O", "O"],
  "fractional_positions": [[0.250, 0.750, 0.500], [0.513, 0.013, 0.500], [0.500, 0.500, 0.000], [0.750, 0.250, 0.500], [0.000, 0.000, 0.000], [0.987, 0.487, 0.500], [0.253, 0.253, 0.000], [0.747, 0.747, 0.000]],
  "magmom_total_mub_per_cell": 0.00,
  "space_group": "I-4m2",
  "formation_energy_uncorrected_ev_per_atom": -2.094
}

---

{
  "formula": "LiZr2CuO",
  "functional": "PBE",
  "state": "optimized geometry",
  "lattice": [[-4.392, 0.169, 0.777], [0.298, -3.693, 2.490], [0.616, 2.091, 3.027]],
  "species": ["Zr", "Cu", "O", "Li", "Zr"],
  "fractional_positions": [[0.500, 0.000, 0.000], [0.500, 0.500, 0.500], [0.000, 0.000, 0.000], [0.000, 0.000, 0.500], [0.000, 0.500, 0.000]],
  "magmom_total_mub_per_cell": 0.00,
  "space_group": "P4/mmm",
  "formation_energy_uncorrected_ev_per_atom": -1.055
}

---

{
  "formula": "Li2ZrCuO",
  "functional": "PBE",
  "state": "optimized geometry",
  "lattice": [[3.944, 0.000, 0.000], [0.000, 3.944, 0.000], [0.000, 0.000, 4.382]],
  "species": ["Cu", "Zr", "O", "Li", "Li"],
  "fractional_positions": [[0.500, 0.500, 0.500], [0.000, 0.000, 0.500], [0.000, 0.000, 0.000], [0.000, 0.500, 0.000], [0.500, 0.000, 0.000]],
  "magmom_total_mub_per_cell": 0.57,
  "space_group": "P4/mmm",
  "formation_energy_uncorrected_ev_per_atom": -0.949
}